Record 1
A plane-wave DFT calculation with PBE was carried out for a geometry-optimized ZrSb3Ir structure. Values from VASP.

Size of the total moment, μB per cell: 1.71
Energy relative to the lowest polymorph listed for this composition, meV/atom: 603
Formation energy (no corrections), eV per atom: 1.17

Cell and atoms, written as Quantum ESPRESSO input:
```
&SYSTEM
  ibrav = 0, nat = 5, ntyp = 3
/
ATOMIC_SPECIES
Zr 91.22 Zr.upf
Sb 121.76 Sb.upf
Ir 192.22 Ir.upf
CELL_PARAMETERS angstrom
5.423 0.000 0.000
0.000 5.423 0.000
0.000 0.000 5.423
ATOMIC_POSITIONS crystal
Zr 0.000 0.000 0.000
Sb 0.000 0.000 0.500
Sb 0.000 0.500 0.000
Sb 0.500 0.000 0.000
Ir 0.500 0.500 0.500
```


Record 2
A plane-wave DFT calculation with PBE was carried out for a geometry-optimized Zr2SbIr structure. Values from VASP.

Size of the total moment, μB per cell: 0.00
Formation energy (no corrections), eV per atom: -0.46

Cell and atoms, written as Quantum ESPRESSO input:
```
&SYSTEM
  ibrav = 0, nat = 4, ntyp = 3
/
ATOMIC_SPECIES
Zr 91.22 Zr.upf
Sb 121.76 Sb.upf
Ir 192.22 Ir.upf
CELL_PARAMETERS angstrom
3.786 0.000 0.000
0.000 3.786 0.000
0.000 0.000 5.948
ATOMIC_POSITIONS crystal
Zr 0.000 0.000 0.000
Zr 0.500 0.500 0.299
Sb 0.500 0.500 0.789
Ir 0.000 0.000 0.455
```


Record 3
A plane-wave DFT calculation with PBE was carried out for a geometry-optimized ZrSbIr2 structure. Values from VASP.

Size of the total moment, μB per cell: 0.00
Formation energy (no corrections), eV per atom: -0.45

Cell and atoms, written as Quantum ESPRESSO input:
```
&SYSTEM
  ibrav = 0, nat = 4, ntyp = 3
/
ATOMIC_SPECIES
Zr 91.22 Zr.upf
Sb 121.76 Sb.upf
Ir 192.22 Ir.upf
CELL_PARAMETERS angstrom
-2.098 2.098 4.017
2.098 -2.098 4.017
2.098 2.098 -4.017
ATOMIC_POSITIONS crystal
Zr 0.000 0.000 0.000
Sb 0.500 0.500 0.000
Ir 0.250 0.750 0.500
Ir 0.750 0.250 0.500
```


Record 4
A plane-wave DFT calculation with PBE was carried out for a geometry-optimized ZrSb3Ir structure. Values from VASP.

Size of the total moment, μB per cell: 0.00
Energy relative to the lowest polymorph listed for this composition, meV/atom: 0
Formation energy (no corrections), eV per atom: 0.57

Cell and atoms, written as Quantum ESPRESSO input:
```
&SYSTEM
  ibrav = 0, nat = 5, ntyp = 3
/
ATOMIC_SPECIES
Zr 91.22 Zr.upf
Sb 121.76 Sb.upf
Ir 192.22 Ir.upf
CELL_PARAMETERS angstrom
5.159 0.000 0.000
0.000 5.159 0.000
0.000 0.000 5.159
ATOMIC_POSITIONS crystal
Zr 0.000 0.000 0.000
Sb 0.000 0.500 0.500
Sb 0.500 0.000 0.500
Sb 0.500 0.500 0.000
Ir 0.500 0.500 0.500
```


Record 5
A plane-wave DFT calculation with PBE was carried out for a geometry-optimized ZrSbIr4 structure. Values from VASP.

Size of the total moment, μB per cell: 0.00
Formation energy (no corrections), eV per atom: -0.18

Cell and atoms, written as Quantum ESPRESSO input:
```
&SYSTEM
  ibrav = 0, nat = 6, ntyp = 3
/
ATOMIC_SPECIES
Zr 91.22 Zr.upf
Sb 121.76 Sb.upf
Ir 192.22 Ir.upf
CELL_PARAMETERS angstrom
0.000 3.741 3.741
3.741 0.000 3.741
3.741 3.741 0.000
ATOMIC_POSITIONS crystal
Zr 0.000 0.000 0.000
Sb 0.250 0.250 0.250
Ir 0.125 0.625 0.625
Ir 0.625 0.125 0.625
Ir 0.625 0.625 0.125
Ir 0.625 0.625 0.625
```


Record 6
A plane-wave DFT calculation with PBE was carried out for a geometry-optimized ZrSbIr2 structure. Values from VASP.

Size of the total moment, μB per cell: 0.00
Formation energy (no corrections), eV per atom: -0.12

Cell and atoms, written as Quantum ESPRESSO input:
```
&SYSTEM
  ibrav = 0, nat = 4, ntyp = 3
/
ATOMIC_SPECIES
Zr 91.22 Zr.upf
Sb 121.76 Sb.upf
Ir 192.22 Ir.upf
CELL_PARAMETERS angstrom
3.164 0.000 0.000
0.000 3.164 0.000
0.000 0.000 7.326
ATOMIC_POSITIONS crystal
Zr 0.000 0.000 0.000
Sb 0.500 0.500 0.691
Ir 0.000 0.000 0.480
Ir 0.500 0.500 0.220
```


Record 7
A plane-wave DFT calculation with PBE was carried out for a geometry-optimized Zr2SbIr structure. Values from VASP.

Size of the total moment, μB per cell: 0.00
Formation energy (no corrections), eV per atom: -0.54

Cell and atoms, written as Quantum ESPRESSO input:
```
&SYSTEM
  ibrav = 0, nat = 4, ntyp = 3
/
ATOMIC_SPECIES
Zr 91.22 Zr.upf
Sb 121.76 Sb.upf
Ir 192.22 Ir.upf
CELL_PARAMETERS angstrom
4.271 0.000 0.000
0.000 4.272 0.000
0.000 0.000 4.301
ATOMIC_POSITIONS crystal
Zr 0.000 0.000 0.000
Zr 0.000 0.500 0.500
Sb 0.500 0.000 0.500
Ir 0.500 0.500 0.000
```


Record 8
A plane-wave DFT calculation with PBE was carried out for a geometry-optimized Zr2Sb2Ir structure. Values from VASP.

Size of the total moment, μB per cell: 0.00
Formation energy (no corrections), eV per atom: -0.32

Cell and atoms, written as Quantum ESPRESSO input:
```
&SYSTEM
  ibrav = 0, nat = 10, ntyp = 3
/
ATOMIC_SPECIES
Zr 91.22 Zr.upf
Sb 121.76 Sb.upf
Ir 192.22 Ir.upf
CELL_PARAMETERS angstrom
7.020 0.000 0.000
0.000 7.020 0.000
0.000 0.000 4.301
ATOMIC_POSITIONS crystal
Zr 0.160 0.340 0.000
Zr 0.340 0.840 0.000
Zr 0.660 0.160 0.000
Zr 0.840 0.660 0.000
Sb 0.148 0.648 0.500
Sb 0.352 0.148 0.500
Sb 0.648 0.852 0.500
Sb 0.852 0.352 0.500
Ir 0.000 0.000 0.500
Ir 0.500 0.500 0.500
```


Record 9
A plane-wave DFT calculation with PBE was carried out for a geometry-optimized ZrSbIr2 structure. Values from VASP.

Size of the total moment, μB per cell: 0.00
Formation energy (no corrections), eV per atom: -0.11

Cell and atoms, written as Quantum ESPRESSO input:
```
&SYSTEM
  ibrav = 0, nat = 4, ntyp = 3
/
ATOMIC_SPECIES
Zr 91.22 Zr.upf
Sb 121.76 Sb.upf
Ir 192.22 Ir.upf
CELL_PARAMETERS angstrom
2.913 -4.763 0.000
2.913 4.763 0.000
-1.459 0.000 2.598
ATOMIC_POSITIONS crystal
Zr 0.000 0.000 0.000
Sb 0.500 0.500 0.000
Ir 0.000 0.500 0.500
Ir 0.500 0.000 0.500
```


Record 10
A plane-wave DFT calculation with PBE was carried out for a geometry-optimized ZrSbIr2 structure. Values from VASP.

Size of the total moment, μB per cell: 0.00
Formation energy (no corrections), eV per atom: 0.13

Cell and atoms, written as Quantum ESPRESSO input:
```
&SYSTEM
  ibrav = 0, nat = 8, ntyp = 3
/
ATOMIC_SPECIES
Zr 91.22 Zr.upf
Sb 121.76 Sb.upf
Ir 192.22 Ir.upf
CELL_PARAMETERS angstrom
-2.867 2.867 6.354
2.867 -2.867 6.354
2.867 2.867 -6.354
ATOMIC_POSITIONS crystal
Zr 0.000 0.000 0.000
Zr 0.750 0.250 0.500
Sb 0.250 0.750 0.500
Sb 0.500 0.500 0.000
Ir 0.132 0.625 0.007
Ir 0.375 0.382 0.507
Ir 0.618 0.125 0.993
Ir 0.875 0.868 0.493
```


Record 11
A plane-wave DFT calculation with PBE was carried out for a geometry-optimized ZrSbIr2 structure. Values from VASP.

Size of the total moment, μB per cell: 0.00
Formation energy (no corrections), eV per atom: -0.39

Cell and atoms, written as Quantum ESPRESSO input:
```
&SYSTEM
  ibrav = 0, nat = 4, ntyp = 3
/
ATOMIC_SPECIES
Zr 91.22 Zr.upf
Sb 121.76 Sb.upf
Ir 192.22 Ir.upf
CELL_PARAMETERS angstrom
4.692 -1.905 0.000
4.692 1.905 0.000
-1.366 0.000 4.057
ATOMIC_POSITIONS crystal
Zr 0.000 0.000 0.000
Sb 0.761 0.761 0.336
Ir 0.257 0.257 0.838
Ir 0.496 0.496 0.475
```


Record 12
A plane-wave DFT calculation with PBE was carried out for a geometry-optimized ZrSbIr2 structure. Values from VASP.

Size of the total moment, μB per cell: 0.00
Formation energy (no corrections), eV per atom: -0.30

Cell and atoms, written as Quantum ESPRESSO input:
```
&SYSTEM
  ibrav = 0, nat = 4, ntyp = 3
/
ATOMIC_SPECIES
Zr 91.22 Zr.upf
Sb 121.76 Sb.upf
Ir 192.22 Ir.upf
CELL_PARAMETERS angstrom
3.689 0.000 0.000
0.000 3.689 0.000
0.000 0.000 5.547
ATOMIC_POSITIONS crystal
Zr 0.000 0.000 0.000
Sb 0.500 0.500 0.657
Ir 0.000 0.000 0.509
Ir 0.500 0.500 0.168
```